Entry from Alexandria via LeMat-Bulk: an optimized crystal structure of Ac6In3Ag (PBE).

```
Ac6In3Ag
1.0
10.167 0.000 0.000
0.000 5.765 0.000
-4.008 0.000 12.187
Ac In Ag
12 6 2
Cartesian
-1.353 1.441 4.987
0.931 4.324 2.104
-1.429 1.441 12.175
0.253 4.324 10.027
2.340 1.441 4.248
1.519 1.441 7.673
4.640 4.324 4.514
3.819 4.324 7.938
5.906 1.441 2.159
7.588 4.324 0.012
5.228 1.441 10.082
7.512 4.324 7.200
-3.211 4.324 10.729
-1.667 1.441 8.770
0.894 4.324 5.748
5.265 1.441 6.439
7.827 4.324 3.417
9.371 1.441 1.457
4.215 4.324 1.228
1.944 1.441 10.958
```

Properties
Total energy in eV per cell: -76.75
V in Å³ per atom: 35.71

Entry from Alexandria via LeMat-Bulk: an optimized crystal structure of AcIn8Ag2 (PBE).

```
AcIn8Ag2
1.0
6.378 0.000 0.000
0.000 6.378 0.000
0.000 0.000 8.856
Ac In Ag
1 8 2
Cartesian
0.000 0.000 0.000
1.629 1.629 2.597
1.629 1.629 6.259
1.629 4.750 2.597
1.629 4.750 6.259
4.750 1.629 2.597
4.750 1.629 6.259
4.750 4.750 2.597
4.750 4.750 6.259
0.000 3.189 4.428
3.189 0.000 4.428
```

Properties
Total energy in eV per cell: -30.75
V in Å³ per atom: 32.76

Entry from Alexandria via LeMat-Bulk: an optimized crystal structure of Ac4In3Ag (PBE).

```
Ac4In3Ag
1.0
3.937 0.000 0.000
0.000 3.937 0.000
0.000 0.000 17.376
Ac In Ag
4 3 1
Cartesian
0.000 0.000 2.017
0.000 0.000 6.441
0.000 0.000 10.935
0.000 0.000 15.359
1.969 1.969 4.191
1.969 1.969 8.688
1.969 1.969 13.186
1.969 1.969 0.000
```

Properties
Total energy in eV per cell: -30.53
V in Å³ per atom: 33.67
Excess energy over the best structure of this formula in the dataset in eV/f.u.: 0.00

Entry from Alexandria via LeMat-Bulk: an optimized crystal structure of AcIn6Ag12 (PBE).

```
AcIn6Ag12
1.0
6.190 3.574 3.204
-6.190 3.574 3.204
0.000 -7.148 3.204
Ac In Ag
1 6 12
Cartesian
0.000 0.000 0.000
0.000 -2.971 4.092
-2.573 1.486 4.092
-2.573 -1.486 5.521
2.573 1.486 4.092
2.573 -1.486 5.521
0.000 2.971 5.521
-2.409 -4.172 4.807
-4.818 0.000 4.807
-1.517 -0.876 2.769
1.517 -0.876 2.769
0.000 1.752 2.769
2.409 -4.172 4.807
-2.409 4.172 4.807
0.000 -1.752 6.844
-1.517 0.876 6.844
1.517 0.876 6.844
4.818 0.000 4.807
2.409 4.172 4.807
```

Properties
Total energy in eV per cell: -54.86
V in Å³ per atom: 22.39

Entry from Alexandria via LeMat-Bulk: an optimized crystal structure of Ac2InAg6 (PBE).

```
Ac2InAg6
1.0
6.410 0.000 0.000
-3.205 5.552 0.000
0.000 0.000 6.192
Ac In Ag
2 1 6
Cartesian
0.000 3.701 0.983
3.205 1.851 5.209
0.000 0.000 0.000
0.000 2.029 4.110
-1.448 4.537 4.110
1.758 1.015 2.082
1.448 4.537 4.110
4.653 1.015 2.082
3.205 3.522 2.082
```

Properties
Total energy in eV per cell: -30.14
V in Å³ per atom: 24.48

Entry from Alexandria via LeMat-Bulk: an optimized crystal structure of Ac2InAg2 (PBE).

```
Ac2InAg2
1.0
6.021 -2.426 0.000
6.021 2.426 0.000
-5.410 0.000 10.314
Ac In Ag
4 2 4
Cartesian
-1.673 0.000 3.452
1.744 0.000 1.095
4.889 0.000 9.219
8.306 0.000 6.862
-0.199 0.000 6.680
6.831 0.000 3.634
2.008 0.000 4.519
5.166 0.000 1.169
1.466 0.000 9.145
4.624 0.000 5.795
```

Properties
Total energy in eV per cell: -36.46
V in Å³ per atom: 30.13
Excess energy over the best structure of this formula in the dataset in eV/f.u.: 0.21